Entry 1:
A geometry-optimized BaBe2Fe structure. Source: Alexandria, functional GGA-PBE.

## Properties
Offset from the most stable computed form   387 meV per atom
Space-group type   P4mm, No. 99
ΔE_f   2.74 eV per formula unit

Cell lengths 3.132, 3.132, 6.939 Å; angles 90.00, 90.00, 90.00 degrees
Element x y z (fractional)
Ba1 0.000 0.000 0.000
Be1 0.000 0.000 0.553
Be2 0.500 0.500 0.364
Fe1 0.500 0.500 0.648


Entry 2:
A geometry-optimized BaBe2Fe structure. Source: Alexandria, functional GGA-PBE.

## Properties
Offset from the most stable computed form   198 meV per atom
Space-group type   Pm, No. 6
ΔE_f   1.99 eV per formula unit

Cell lengths 3.262, 3.520, 6.512 Å; angles 90.00, 102.19, 90.00 degrees
Element x y z (fractional)
Ba1 0.000 0.000 0.000
Be1 0.649 0.500 0.336
Be2 0.717 0.000 0.518
Fe1 0.243 0.500 0.555